(1)
Density functional theory data (GGA-PBE) for Ti2GaRe after structural relaxation.

Calculated values
**Symmetry**: Immm (71)
**Calculated formation energy**: 0.400 eV per atom
**E_tot**: -7.42 eV/atom

Cell lengths 5.8703, 5.8703, 5.8703 Å; angles 54.27, 152.92, 133.92 degrees
Last column: nearest neighbours and their distance in Å.
Element x y z (fractional)
Ti  0.0000  0.2437  0.2437  1 Ga 2.55, 1 Re 2.68, 6 Ti 2.68-2.75
Ti  0.0000  0.7563  0.7563  1 Ga 2.55, 1 Re 2.68, 6 Ti 2.68-2.75
Ga  0.0000  0.0000  0.0000  2 Ti 2.55, 4 Re 2.68, 2 Ga 2.75
Re  0.0000  0.5000  0.5000  4 Ga 2.68, 2 Ti 2.68, 2 Re 2.75


(2)
Density functional theory data (GGA-PBE) for TiGaRe3 after structural relaxation.

Calculated values
**Energy above the lowest structure with this stoichiometry**: 0.3314 eV/atom
**Symmetry**: Pm-3m (221)
**Calculated formation energy**: 1.914 eV per atom
**E_tot**: -7.74 eV/atom

Cell lengths 4.5622, 4.5622, 4.5622 Å; angles 90.00, 90.00, 90.00 degrees
Last column: nearest neighbours and their distance in Å.
Element x y z (fractional)
Re  0.0000  0.5000  0.0000  2 Ti 2.28
Re  0.0000  0.0000  0.5000  2 Ti 2.28
Re  0.5000  0.0000  0.0000  2 Ti 2.28
Ga  0.5000  0.5000  0.5000  12 Re 3.23
Ti  0.0000  0.0000  0.0000  6 Re 2.28


(3)
Density functional theory data (GGA-PBE) for Ti5GaRe4 after structural relaxation.

Calculated values
**Symmetry**: P4/mmm (123)
**Calculated formation energy**: -0.449 eV per atom
**E_tot**: -9.68 eV/atom

Cell lengths 3.1603, 3.1603, 15.3472 Å; angles 90.00, 90.00, 90.00 degrees
Last column: nearest neighbours and their distance in Å.
Element x y z (fractional)
Ti  0.5000  0.5000  0.1044  4 Re 2.64, 4 Ga 2.75
Ti  0.5000  0.5000  0.2995  8 Re 2.71-2.74, 1 Ti 3.00
Ti  0.5000  0.5000  0.5000  8 Re 2.72
Ti  0.5000  0.5000  0.7005  8 Re 2.71-2.74, 1 Ti 3.00
Ti  0.5000  0.5000  0.8956  4 Re 2.64, 4 Ga 2.75
Ga  0.0000  0.0000  0.0000  8 Ti 2.75, 2 Re 3.01
Re  0.0000  0.0000  0.1963  8 Ti 2.64-2.74
Re  0.0000  0.0000  0.3993  8 Ti 2.71-2.72
Re  0.0000  0.0000  0.6007  8 Ti 2.71-2.72
Re  0.0000  0.0000  0.8037  8 Ti 2.64-2.74


(4)
Density functional theory data (GGA-PBE) for Ti6Ga12Re after structural relaxation.

Calculated values
**Symmetry**: R-3 (148)
**Calculated formation energy**: -0.325 eV per atom
**E_tot**: -5.38 eV/atom

Cell lengths 6.7941, 6.7941, 6.7941 Å; angles 94.70, 94.70, 94.70 degrees
Last column: nearest neighbours and their distance in Å.
Element x y z (fractional)
Ti  0.7054  0.8645  0.2586  9 Ga 2.70-2.95, 1 Re 2.91
Ti  0.7414  0.2946  0.1355  9 Ga 2.70-2.95, 1 Re 2.91
Ti  0.1355  0.7414  0.2946  9 Ga 2.70-2.95, 1 Re 2.91
Ti  0.2946  0.1355  0.7414  9 Ga 2.70-2.95, 1 Re 2.91
Ti  0.2586  0.7054  0.8645  9 Ga 2.70-2.95, 1 Re 2.91
Ti  0.8645  0.2586  0.7054  9 Ga 2.70-2.95, 1 Re 2.91
Ga  0.7960  0.5521  0.4698  1 Ga 2.53, 3 Ti 2.70-2.74
Ga  0.4698  0.7960  0.5521  1 Ga 2.53, 3 Ti 2.70-2.74
Ga  0.5521  0.4698  0.7960  1 Ga 2.53, 3 Ti 2.70-2.74
Ga  0.2040  0.4479  0.5302  1 Ga 2.53, 3 Ti 2.70-2.74
Ga  0.5302  0.2040  0.4479  1 Ga 2.53, 3 Ti 2.70-2.74
Ga  0.4479  0.5302  0.2040  1 Ga 2.53, 3 Ti 2.70-2.74
Ga  0.0334  0.1217  0.3712  2 Ga 2.53-2.55, 1 Re 2.57, 3 Ti 2.73-2.76
Ga  0.8783  0.6288  0.9666  2 Ga 2.53-2.55, 1 Re 2.57, 3 Ti 2.73-2.76
Ga  0.6288  0.9666  0.8783  2 Ga 2.53-2.55, 1 Re 2.57, 3 Ti 2.73-2.76
Ga  0.9666  0.8783  0.6288  2 Ga 2.53-2.55, 1 Re 2.57, 3 Ti 2.73-2.76
Ga  0.1217  0.3712  0.0334  2 Ga 2.53-2.55, 1 Re 2.57, 3 Ti 2.73-2.76
Ga  0.3712  0.0334  0.1217  2 Ga 2.53-2.55, 1 Re 2.57, 3 Ti 2.73-2.76
Re  0.0000  0.0000  0.0000  6 Ga 2.57


(5)
Density functional theory data (GGA-PBE) for Ti2GaRe after structural relaxation.

Calculated values
**Symmetry**: P4/mmm (123)
**Calculated formation energy**: -0.516 eV per atom
**E_tot**: -8.33 eV/atom

Cell lengths 3.1990, 3.1990, 6.0476 Å; angles 90.00, 90.00, 90.00 degrees
Last column: nearest neighbours and their distance in Å.
Element x y z (fractional)
Re  0.5000  0.5000  0.0000  8 Ti 2.69
Ga  0.5000  0.5000  0.5000  8 Ti 2.75, 2 Re 3.02
Ti  0.0000  0.0000  0.7587  4 Re 2.69, 4 Ga 2.75, 1 Ti 2.92
Ti  0.0000  0.0000  0.2413  4 Re 2.69, 4 Ga 2.75, 1 Ti 2.92


(6)
Density functional theory data (GGA-PBE) for TiGa2Re after structural relaxation.

Calculated values
**Symmetry**: P4/mmm (123)
**Calculated formation energy**: -0.141 eV per atom
**E_tot**: -6.74 eV/atom

Cell lengths 4.1002, 3.8403, 3.8403 Å; angles 90.00, 90.00, 90.00 degrees
Last column: nearest neighbours and their distance in Å.
Element x y z (fractional)
Re  0.5000  0.0000  0.0000  4 Ti 2.72, 8 Ga 2.81
Ga  0.0000  0.0000  0.5000  4 Ga 2.72, 4 Re 2.81, 4 Ti 2.81
Ga  0.0000  0.5000  0.0000  4 Ga 2.72, 4 Ti 2.81, 4 Re 2.81
Ti  0.5000  0.5000  0.5000  4 Re 2.72, 8 Ga 2.81


(7)
Density functional theory data (GGA-PBE) for ZrTiGaRe after structural relaxation.

Calculated values
**Symmetry**: F-43m (216)
**Calculated formation energy**: -0.326 eV per atom
**E_tot**: -8.31 eV/atom

Cell lengths 4.5921, 4.5921, 4.5921 Å; angles 60.00, 60.00, 60.00 degrees
Last column: nearest neighbours and their distance in Å.
Element x y z (fractional)
Re  0.0000  0.0000  0.0000  4 Zr 2.81, 4 Ti 2.81
Ga  0.5000  0.5000  0.5000  4 Zr 2.81, 4 Ti 2.81
Zr  0.7500  0.7500  0.7500  4 Re 2.81, 4 Ga 2.81
Ti  0.2500  0.2500  0.2500  4 Re 2.81, 4 Ga 2.81


(8)
Density functional theory data (GGA-PBE) for TlGa2Re2 after structural relaxation.

Calculated values
**Energy above the lowest structure with this stoichiometry**: 0.0000 eV/atom
**Symmetry**: I4/mmm (139)
**Calculated formation energy**: 0.523 eV per atom
**E_tot**: -6.14 eV/atom

Cell lengths 3.7996, 3.7996, 7.0495 Å; angles 74.37, 74.37, 90.00 degrees
Last column: nearest neighbours and their distance in Å.
Element x y z (fractional)
Re  0.7500  0.2500  0.5000  4 Ga 2.67, 4 Re 2.69
Re  0.2500  0.7500  0.5000  4 Ga 2.67, 4 Re 2.69
Tl  0.0000  0.0000  0.0000  8 Ga 3.02
Ga  0.3937  0.3937  0.2126  4 Re 2.67, 1 Ga 2.77
Ga  0.6063  0.6063  0.7874  4 Re 2.67, 1 Ga 2.77


Q: Number 4 is which compound?
A: Ti6Ga12Re


Q: The highest calculated formation energy belongs to which entry?
A: TiGaRe3